(1)
Here is an optimized crystal structure of BaTaAu from Alexandria. Energies are from PBE-GGA.

Cell lengths 3.5678, 4.6344, 9.9919 Å; angles 90.00, 99.94, 90.00 degrees
Fractional positions:
Ba 0.0810 0.2500 0.1498
Ba 0.9190 0.7500 0.8502
Ta 0.2464 0.7500 0.4925
Ta 0.7536 0.2500 0.5075
Au 0.3556 0.2500 0.7187
Au 0.6444 0.7500 0.2813

Computed properties:
- total moment (μB per atom) = 0.0000
- SG = No. 11
- relative energy among the computed polymorphs (meV per atom) = 65
- formation enthalpy at 0 K (meV per atom) = 88
- DFT total energy (eV/f.u.) = -16.787
- DOS at the Fermi energy (states/eV/cell) = 4.40

=====

(2)
Here is an optimized crystal structure of BaTa3Au from Alexandria. Energies are from PBE-GGA.

Cell lengths 5.0185, 5.0185, 5.0185 Å; angles 90.00, 90.00, 90.00 degrees
Fractional positions:
Ba 0.0000 0.0000 0.0000
Ta 0.0000 0.0000 0.5000
Ta 0.0000 0.5000 0.0000
Ta 0.5000 0.0000 0.0000
Au 0.5000 0.5000 0.5000

Computed properties:
- total moment (μB per atom) = 0.0000
- SG = No. 221
- formation enthalpy at 0 K (meV per atom) = 2943
- DFT total energy (eV/f.u.) = -26.044
- DOS at the Fermi energy (states/eV/cell) = 3.15

=====

(3)
Here is an optimized crystal structure of BaTaTeAu2 from Alexandria. Energies are from PBE-GGA.

Cell lengths 5.3053, 5.3053, 6.4612 Å; angles 90.00, 90.00, 90.00 degrees
Fractional positions:
Ba 0.0000 0.0000 0.0000
Ta 0.5000 0.5000 0.0000
Te 0.0000 0.0000 0.5000
Au 0.0000 0.5000 0.5000
Au 0.5000 0.0000 0.5000

Computed properties:
- total moment (μB per atom) = 0.7663
- SG = No. 123
- DFT total energy (eV/f.u.) = -18.159
- DOS at the Fermi energy (states/eV/cell) = 7.62

=====

(4)
Here is an optimized crystal structure of BaTaTi2Au from Alexandria. Energies are from PBE-GGA.

Cell lengths 5.1164, 5.1164, 5.2114 Å; angles 90.00, 90.00, 90.00 degrees
Fractional positions:
Ba 0.0000 0.0000 0.0000
Ta 0.5000 0.5000 0.0000
Ti 0.0000 0.5000 0.5000
Ti 0.5000 0.0000 0.5000
Au 0.5000 0.5000 0.5000

Computed properties:
- total moment (μB per atom) = 0.1064
- SG = No. 123
- formation enthalpy at 0 K (meV per atom) = 901
- DFT total energy (eV/f.u.) = -28.338
- DOS at the Fermi energy (states/eV/cell) = 9.24

=====

(5)
Here is an optimized crystal structure of BaTbAu from Alexandria. Energies are from PBE-GGA.

Cell lengths 3.8547, 3.8547, 13.7118 Å; angles 90.00, 90.00, 90.00 degrees
Fractional positions:
Ba 0.0000 0.0000 0.0000
Ba 0.5000 0.5000 0.5000
Tb 0.0000 0.0000 0.2655
Tb 0.5000 0.5000 0.7655
Au 0.0000 0.0000 0.6750
Au 0.5000 0.5000 0.1750

Computed properties:
- total moment (μB per atom) = 0.0000
- SG = No. 107
- formation enthalpy at 0 K (meV per atom) = -465
- DFT total energy (eV/f.u.) = -11.227
- DOS at the Fermi energy (states/eV/cell) = 5.04

=====

(6)
Here is an optimized crystal structure of BaTb4Au5 from Alexandria. Energies are from PBE-GGA.

Cell lengths 3.6716, 3.6716, 18.6565 Å; angles 90.00, 90.00, 90.00 degrees
Fractional positions:
Ba 0.0000 0.0000 0.0000
Tb 0.0000 0.0000 0.2107
Tb 0.0000 0.0000 0.4043
Tb 0.0000 0.0000 0.5957
Tb 0.0000 0.0000 0.7893
Au 0.5000 0.5000 0.1283
Au 0.5000 0.5000 0.3087
Au 0.5000 0.5000 0.5000
Au 0.5000 0.5000 0.6913
Au 0.5000 0.5000 0.8717

Computed properties:
- total moment (μB per atom) = 0.0000
- SG = No. 123
- formation enthalpy at 0 K (meV per atom) = -801
- DFT total energy (eV/f.u.) = -44.845
- DOS at the Fermi energy (states/eV/cell) = 7.60

=====

(7)
Here is an optimized crystal structure of Ba2TbAu from Alexandria. Energies are from PBE-GGA.

Cell lengths 4.0370, 4.0370, 35.8728 Å; angles 90.00, 90.00, 120.00 degrees
Fractional positions:
Ba 0.0000 0.0000 0.1037
Ba 0.0000 0.0000 0.8963
Ba 0.3333 0.6667 0.5630
Ba 0.3333 0.6667 0.7703
Ba 0.6667 0.3333 0.2297
Ba 0.6667 0.3333 0.4370
Tb 0.0000 0.0000 0.0000
Tb 0.3333 0.6667 0.6667
Tb 0.6667 0.3333 0.3333
Au 0.0000 0.0000 0.5000
Au 0.3333 0.6667 0.1667
Au 0.6667 0.3333 0.8333

Computed properties:
- total moment (μB per atom) = 0.1100
- SG = No. 166
- formation enthalpy at 0 K (meV per atom) = 70
- DFT total energy (eV/f.u.) = -11.474
- DOS at the Fermi energy (states/eV/cell) = 18.00

=====

(8)
Here is an optimized crystal structure of BaTcAu from Alexandria. Energies are from PBE-GGA.

Cell lengths 3.7283, 3.7396, 11.4285 Å; angles 90.00, 90.00, 90.00 degrees
Fractional positions:
Ba 0.0000 0.0000 0.0000
Ba 0.5000 0.5000 0.5000
Tc 0.0000 0.0000 0.2707
Tc 0.5000 0.5000 0.7707
Au 0.0000 0.0000 0.7157
Au 0.5000 0.5000 0.2157

Computed properties:
- total moment (μB per atom) = 0.5674
- SG = No. 44
- relative energy among the computed polymorphs (meV per atom) = 149
- formation enthalpy at 0 K (meV per atom) = 520
- DFT total energy (eV/f.u.) = -14.006
- DOS at the Fermi energy (states/eV/cell) = 5.80

=====

(9)
Here is an optimized crystal structure of BaTcAu from Alexandria. Energies are from PBE-GGA.

Cell lengths 4.5301, 4.5301, 4.8696 Å; angles 90.00, 90.00, 120.00 degrees
Fractional positions:
Ba 0.0000 0.0000 0.0000
Tc 0.6667 0.3333 0.5000
Au 0.3333 0.6667 0.5000

Computed properties:
- total moment (μB per atom) = 0.6823
- SG = No. 187
- relative energy among the computed polymorphs (meV per atom) = 0
- formation enthalpy at 0 K (meV per atom) = 371
- DFT total energy (eV/f.u.) = -14.452
- DOS at the Fermi energy (states/eV/cell) = 1.94

=====

(10)
Here is an optimized crystal structure of BaTcAu4 from Alexandria. Energies are from PBE-GGA.

Cell lengths 5.7288, 5.7288, 5.7288 Å; angles 60.00, 60.00, 60.00 degrees
Fractional positions:
Ba 0.0000 0.0000 0.0000
Tc 0.7500 0.7500 0.7500
Au 0.3758 0.3758 0.3758
Au 0.3758 0.3758 0.8727
Au 0.3758 0.8727 0.3758
Au 0.8727 0.3758 0.3758

Computed properties:
- total moment (μB per atom) = 0.5540
- SG = No. 216
- formation enthalpy at 0 K (meV per atom) = 203
- DFT total energy (eV/f.u.) = -24.181
- DOS at the Fermi energy (states/eV/cell) = 4.75

=====

(11)
Here is an optimized crystal structure of BaTc4Au from Alexandria. Energies are from PBE-GGA.

Cell lengths 5.4253, 5.4253, 5.4253 Å; angles 60.00, 60.00, 60.00 degrees
Fractional positions:
Ba 0.0000 0.0000 0.0000
Tc 0.1271 0.6243 0.6243
Tc 0.6243 0.1271 0.6243
Tc 0.6243 0.6243 0.1271
Tc 0.6243 0.6243 0.6243
Au 0.2500 0.2500 0.2500

Computed properties:
- total moment (μB per atom) = 0.0000
- SG = No. 216
- formation enthalpy at 0 K (meV per atom) = 797
- DFT total energy (eV/f.u.) = -41.882
- DOS at the Fermi energy (states/eV/cell) = 5.91

=====

(12)
Here is an optimized crystal structure of BaTcAu from Alexandria. Energies are from PBE-GGA.

Cell lengths 7.0039, 7.0039, 7.0039 Å; angles 90.00, 90.00, 90.00 degrees
Fractional positions:
Ba 0.0000 0.0000 0.0000
Ba 0.0000 0.5000 0.5000
Ba 0.5000 0.0000 0.5000
Ba 0.5000 0.5000 0.0000
Tc 0.2500 0.2500 0.2500
Tc 0.2500 0.7500 0.7500
Tc 0.7500 0.2500 0.7500
Tc 0.7500 0.7500 0.2500
Au 0.0000 0.0000 0.5000
Au 0.0000 0.5000 0.0000
Au 0.5000 0.0000 0.0000
Au 0.5000 0.5000 0.5000

Computed properties:
- total moment (μB per atom) = 1.0090
- SG = No. 216
- relative energy among the computed polymorphs (meV per atom) = 466
- formation enthalpy at 0 K (meV per atom) = 838
- DFT total energy (eV/f.u.) = -13.053
- DOS at the Fermi energy (states/eV/cell) = 12.76